Computed, not measured: an optimized crystal structure of VSbTe2Au at the PBE level of DFT.

Structure (POSCAR):
```
VSbTe2Au
1.0
5.480 0.000 0.000
0.000 5.480 0.000
0.000 0.000 5.199
Sb Te Au V
1 2 1 1
direct
0.000 0.000 0.500
0.000 0.500 0.000
0.500 0.000 0.000
0.000 0.000 0.000
0.500 0.500 0.500
```

Summary:
Magnetic moment in μB per atom: 0.014
Symmetry: P4/mmm (123)
Crystal system: tetragonal
Polymorph energy (0 for the lowest one) in meV per atom: 710
ΔE_f (raw) in kJ/mol of formula units: 534

***

Computed, not measured: an optimized crystal structure of VSb2TeAu at the PBE level of DFT.

Structure (POSCAR):
```
VSb2TeAu
1.0
5.128 0.000 0.000
0.000 5.128 0.000
0.000 0.000 5.039
Sb Te Au V
2 1 1 1
direct
0.000 0.500 0.000
0.500 0.000 0.000
0.000 0.000 0.500
0.500 0.500 0.500
0.000 0.000 0.000
```

Summary:
Magnetic moment in μB per atom: 0.000
Symmetry: P4/mmm (123)
Crystal system: tetragonal
Polymorph energy (0 for the lowest one) in meV per atom: 0
ΔE_f (raw) in kJ/mol of formula units: 188

***

Computed, not measured: an optimized crystal structure of Sb2TeWAu at the PBE level of DFT.

Structure (POSCAR):
```
Sb2TeWAu
1.0
5.275 0.000 0.000
0.000 5.275 0.000
0.000 0.000 5.181
Sb Te Au W
2 1 1 1
direct
0.000 0.500 0.000
0.500 0.000 0.000
0.000 0.000 0.500
0.500 0.500 0.500
0.000 0.000 0.000
```

Summary:
Magnetic moment in μB per atom: 0.000
Symmetry: P4/mmm (123)
Crystal system: tetragonal
Polymorph energy (0 for the lowest one) in meV per atom: 0
ΔE_f (raw) in kJ/mol of formula units: 345

***

Computed, not measured: an optimized crystal structure of Sb2TeWAu at the PBE level of DFT.

Structure (POSCAR):
```
Sb2TeWAu
1.0
5.268 0.000 0.000
0.000 5.268 0.000
0.000 0.000 5.408
Sb Te Au W
2 1 1 1
direct
0.000 0.500 0.000
0.500 0.000 0.000
0.000 0.000 0.500
0.000 0.000 0.000
0.500 0.500 0.500
```

Summary:
Magnetic moment in μB per atom: 0.605
Symmetry: P4/mmm (123)
Crystal system: tetragonal
Polymorph energy (0 for the lowest one) in meV per atom: 807
ΔE_f (raw) in kJ/mol of formula units: 735

***

Computed, not measured: an optimized crystal structure of ZnSbTe2Au at the PBE level of DFT.

Structure (POSCAR):
```
ZnSbTe2Au
1.0
-1.787 4.064 -2.938
-3.845 -3.113 -1.967
-3.080 1.398 3.809
Sb Zn Te Au
1 1 2 1
direct
0.000 0.000 0.500
0.000 0.000 0.000
0.000 0.500 0.000
0.500 0.000 0.000
0.500 0.500 0.500
```

Summary:
Magnetic moment in μB per atom: 0.000
Symmetry: P4/mmm (123)
Crystal system: tetragonal
Polymorph energy (0 for the lowest one) in meV per atom: 48
ΔE_f (raw) in kJ/mol of formula units: 323

***

Computed, not measured: an optimized crystal structure of ZnSbTe2Au at the PBE level of DFT.

Structure (POSCAR):
```
ZnSbTe2Au
1.0
5.559 0.000 0.000
0.000 5.559 0.000
0.000 0.000 5.316
Sb Zn Te Au
1 1 2 1
direct
0.000 0.000 0.500
0.500 0.500 0.500
0.000 0.500 0.000
0.500 0.000 0.000
0.000 0.000 0.000
```

Summary:
Magnetic moment in μB per atom: 0.000
Symmetry: P4/mmm (123)
Crystal system: tetragonal
Polymorph energy (0 for the lowest one) in meV per atom: 0
ΔE_f (raw) in kJ/mol of formula units: 300

***

Computed, not measured: an optimized crystal structure of ZrSbTe2Au at the PBE level of DFT.

Structure (POSCAR):
```
ZrSbTe2Au
1.0
5.393 0.000 0.000
0.000 5.393 0.000
0.000 0.000 5.246
Sb Te Au Zr
1 2 1 1
direct
0.000 0.000 0.500
0.000 0.500 0.000
0.500 0.000 0.000
0.000 0.000 0.000
0.500 0.500 0.500
```

Summary:
Magnetic moment in μB per atom: 0.160
Symmetry: P4/mmm (123)
Crystal system: tetragonal
Polymorph energy (0 for the lowest one) in meV per atom: 284
ΔE_f (raw) in kJ/mol of formula units: 280

***

Computed, not measured: an optimized crystal structure of ZrSb2TeAu at the PBE level of DFT.

Structure (POSCAR):
```
ZrSb2TeAu
1.0
-4.006 -3.135 1.415
2.970 -2.057 3.850
-1.776 3.804 3.401
Sb Te Au Zr
2 1 1 1
direct
0.000 0.500 0.000
0.500 0.000 0.000
0.000 0.000 0.500
0.000 0.000 0.000
0.500 0.500 0.500
```

Summary:
Magnetic moment in μB per atom: 0.044
Symmetry: P4/mmm (123)
Crystal system: tetragonal
Polymorph energy (0 for the lowest one) in meV per atom: 247
ΔE_f (raw) in kJ/mol of formula units: 306

***

Computed, not measured: an optimized crystal structure of ZrSb2TeAu at the PBE level of DFT.

Structure (POSCAR):
```
ZrSb2TeAu
1.0
5.550 0.000 0.000
0.000 5.550 0.000
0.000 0.000 5.465
Sb Te Au Zr
2 1 1 1
direct
0.000 0.500 0.000
0.500 0.000 0.000
0.000 0.000 0.500
0.500 0.500 0.500
0.000 0.000 0.000
```

Summary:
Magnetic moment in μB per atom: 0.000
Symmetry: P4/mmm (123)
Crystal system: tetragonal
Polymorph energy (0 for the lowest one) in meV per atom: 0
ΔE_f (raw) in kJ/mol of formula units: 187

***

Computed, not measured: an optimized crystal structure of ZrSbTe2Au at the PBE level of DFT.

Structure (POSCAR):
```
ZrSbTe2Au
1.0
-5.469 0.421 0.555
-0.695 -2.993 -4.578
-0.050 -4.696 3.077
Sb Te Au Zr
1 2 1 1
direct
0.000 0.000 0.500
0.000 0.500 0.000
0.500 0.000 0.000
0.500 0.500 0.500
0.000 0.000 0.000
```

Summary:
Magnetic moment in μB per atom: 0.000
Symmetry: P4/mmm (123)
Crystal system: tetragonal
Polymorph energy (0 for the lowest one) in meV per atom: 0
ΔE_f (raw) in kJ/mol of formula units: 143

***

Computed, not measured: an optimized crystal structure of ThSbAu2 at the PBE level of DFT.

Structure (POSCAR):
```
ThSbAu2
1.0
3.897 0.000 0.000
0.000 3.897 0.000
0.000 0.000 6.403
Sb Au Th
1 2 1
direct
0.500 0.500 0.000
0.000 0.000 0.752
0.000 0.000 0.248
0.500 0.500 0.500
```

Summary:
Magnetic moment in μB per atom: 0.000
Symmetry: P4/mmm (123)
Crystal system: tetragonal
ΔE_f (raw) in kJ/mol of formula units: -173

***

Computed, not measured: an optimized crystal structure of Th6Sb5Au at the PBE level of DFT.

Structure (POSCAR):
```
Th6Sb5Au
1.0
-3.846 -6.604 1.291
7.746 -0.040 -0.249
-1.060 3.481 6.854
Sb Au Th
5 1 6
direct
0.825 0.175 0.500
0.665 0.335 0.000
0.500 0.500 0.500
0.335 0.665 0.000
0.175 0.825 0.500
0.000 0.000 0.000
0.401 0.079 0.240
0.921 0.599 0.760
0.238 0.238 0.752
0.762 0.762 0.248
0.079 0.401 0.240
0.599 0.921 0.760
```

Summary:
Magnetic moment in μB per atom: 0.000
Symmetry: C2/m (12)
Crystal system: monoclinic
ΔE_f (raw) in kJ/mol of formula units: -979

***

Computed, not measured: an optimized crystal structure of Th8Sb5Au at the PBE level of DFT.

Structure (POSCAR):
```
Th8Sb5Au
1.0
7.752 0.000 -2.646
-3.877 6.661 -2.773
0.003 0.000 8.191
Th Sb Au
8 5 1
direct
0.132 0.742 0.014
0.986 0.118 0.728
0.771 0.252 0.374
0.626 0.397 0.877
0.480 0.603 0.229
0.610 0.882 0.868
0.272 0.258 0.390
0.123 0.748 0.520
0.998 0.371 0.124
0.876 0.874 0.247
0.753 0.629 0.627
0.500 0.000 0.500
0.373 0.126 0.002
0.250 0.500 0.750
```

Summary:
Magnetic moment in μB per atom: 0.000
Symmetry: I-4 (82)
Crystal system: tetragonal
ΔE_f (raw) in kJ/mol of formula units: -940

***

Computed, not measured: an optimized crystal structure of ThSbAu2 at the PBE level of DFT.

Structure (POSCAR):
```
ThSbAu2
1.0
-0.985 -3.304 -3.151
2.882 -2.814 2.050
-3.348 -1.512 2.632
Sb Au Th
1 2 1
direct
0.500 0.500 0.500
0.000 0.000 0.500
0.000 0.500 0.000
0.500 0.000 0.000
```

Summary:
Magnetic moment in μB per atom: 0.000
Symmetry: P4/mmm (123)
Crystal system: tetragonal
ΔE_f (raw) in kJ/mol of formula units: -203